# PBEsol NaGeO2, relaxed
data_NaGeO2
_space_group_name_H-M_alt 'R -3 m'
_space_group_IT_number 166
_space_group_name_Hall '-R 3 2"'
_cell_length_a 3.0753
_cell_length_b 3.0753
_cell_length_c 20.0449
_cell_angle_alpha 90.00
_cell_angle_beta 90.00
_cell_angle_gamma 120.00
loop_
_atom_site_label
_atom_site_type_symbol
_atom_site_fract_x
_atom_site_fract_y
_atom_site_fract_z
Na1 Na 0.0000 0.0000 0.0000
Ge1 Ge 0.0000 0.0000 0.5000
O1 O 0.0000 0.0000 0.1180
# uncorrected formation energy: -1105 meV/atom
# size of the total moment: 0.005 μB/cell

---

# PBEsol Na2Ge2O5, relaxed
data_Na2Ge2O5
_space_group_name_H-M_alt 'P n a 21'
_space_group_IT_number 33
_space_group_name_Hall 'P 2c -2n'
_cell_length_a 8.448
_cell_length_b 12.246
_cell_length_c 4.898
_cell_angle_alpha 90.00
_cell_angle_beta 90.00
_cell_angle_gamma 90.00
loop_
_atom_site_label
_atom_site_type_symbol
_atom_site_fract_x
_atom_site_fract_y
_atom_site_fract_z
Na1 Na 0.071 0.232 0.000
Na2 Na 0.186 0.695 0.968
Ge1 Ge 0.049 0.928 0.054
Ge2 Ge 0.111 0.526 0.423
O1 O 0.029 0.950 0.414
O2 O 0.039 0.194 0.480
O3 O 0.074 0.517 0.062
O4 O 0.166 0.657 0.491
O5 O 0.244 0.416 0.489
# uncorrected formation energy: -1756 meV/atom
# size of the total moment: 0.004 μB/cell

---

Number 1: N(E_F) 0.423 states/eV/atom, calculated volume 13.681 A^3/atom. Number 2: N(E_F) 0.000 states/eV/atom, calculated volume 14.075 A^3/atom.